1.
Computed, not measured: crystalline Hf2NbSn2 at its relaxed geometry at the PBE-GGA level of DFT.

a = 8.1342 Å, b = 8.1342 Å, c = 8.1342 Å
α = 152.15°, β = 152.15°, γ = 39.79°
Atoms (fractional coordinates):
Sn 0.7500 0.2500 0.5000
Sn 0.2500 0.7500 0.5000
Hf 0.4061 0.4061 0.0000
Hf 0.5939 0.5939 0.0000
Nb 0.0000 0.0000 0.0000

Summary:
Energy (eV/atom): -7.23
Distance to the lowest polymorph of the same formula (kJ per mole of atoms): 11.8
Symmetry: No. 139
Size of the total moment (μB/cell): 0.1

2.
Computed, not measured: crystalline ScTc2Hg at its relaxed geometry at the PBE-GGA level of DFT.

a = 4.5839 Å, b = 4.5839 Å, c = 4.5839 Å
α = 60.00°, β = 60.00°, γ = 60.00°
Atoms (fractional coordinates):
Tc 0.5000 0.5000 0.5000
Tc 0.7500 0.7500 0.7500
Hg 0.2500 0.2500 0.2500
Sc 0.0000 0.0000 0.0000

Summary:
Energy (eV/atom): -6.69
Energy of formation from the pure elements (eV/atom): 0.1437
Symmetry: No. 216
Size of the total moment (μB/cell): 0.0

3.
Computed, not measured: crystalline Lu3ZrTl2C2 at its relaxed geometry at the PBE-GGA level of DFT.

a = 3.4875 Å, b = 3.4875 Å, c = 15.6475 Å
α = 90.00°, β = 90.00°, γ = 120.00°
Atoms (fractional coordinates):
C 0.6667 0.3333 0.0077
C 0.6667 0.3333 0.4989
Zr 0.0000 0.0000 0.0811
Lu 0.0000 0.0000 0.4151
Lu 0.3333 0.6667 0.5825
Lu 0.3333 0.6667 0.9182
Tl 0.0000 0.0000 0.7514
Tl 0.3333 0.6667 0.2452

Summary:
Energy (eV/atom): -6.14
Symmetry: No. 156
Size of the total moment (μB/cell): 0.0